{
  "formula": "Rb2Cu2WO6",
  "functional": "GGA+U",
  "state": "optimized geometry",
  "final_energy_ev_per_atom": -5.6685,
  "dos_ef_per_ev_cell": 3.0,
  "magmom_total_mub_per_cell": 2.03,
  "lattice": [[5.915, 0.000, 0.000], [2.958, 5.123, 0.000], [2.958, 1.708, 5.878]],
  "species": ["W", "O", "Rb", "O", "O", "Rb", "O", "O", "Cu", "Cu", "O"],
  "fractional_positions": [[0.000, 0.000, 0.000], [0.238, 0.781, 0.200], [0.786, 0.786, 0.642], [0.219, 0.219, 0.800], [0.219, 0.762, 0.800], [0.214, 0.214, 0.358], [0.781, 0.781, 0.200], [0.762, 0.219, 0.800], [0.599, 0.599, 0.202], [0.401, 0.401, 0.798], [0.781, 0.238, 0.200]]
}